Ta2CoMo: relaxed, PBE-GGA.

Cell lengths 3.7898, 3.7898, 8.8674 Å; angles 90.00, 90.00, 90.00 degrees
With the nearest neighbours (Å) after each atom.
Fractional positions:
1 Ta 0.0000 0.0000 0.0000  4 Mo 2.68, 4 Ta 2.92, 4 Co 2.92
2 Ta 0.0000 0.5000 0.2500  4 Co 2.68, 4 Ta 2.92, 4 Mo 2.92
3 Ta 0.5000 0.0000 0.7500  4 Co 2.68, 4 Ta 2.92, 4 Mo 2.92
4 Ta 0.5000 0.5000 0.5000  4 Mo 2.68, 4 Ta 2.92, 4 Co 2.92
5 Co 0.0000 0.5000 0.7500  8 Ta 2.68-2.92, 4 Mo 2.92
6 Co 0.5000 0.0000 0.2500  8 Ta 2.68-2.92, 4 Mo 2.92
7 Mo 0.0000 0.0000 0.5000  8 Ta 2.68-2.92, 4 Co 2.92
8 Mo 0.5000 0.5000 0.0000  8 Ta 2.68-2.92, 4 Co 2.92

Values from the calculation:
E_tot (eV/atom): -10.306
Formation energy from the elements (eV per atom): 0.10
Offset from the most stable computed form (kJ/mol of formula units): 101
Total magnetization (μB/cell): 0.01